# 1
PBE La4TlIr, relaxed; calculated density = 8.5 g cm⁻³
1.0
6.2011 -0.4494 0.0000
-2.1259 8.5521 0.0000
-2.0376 -4.0513 7.1605
Tl La Ir
2 8 2
Cartesian
1.5503 -0.1124 5.4729
0.4873 4.1637 1.6876
-1.0303 5.2350 4.5289
3.0679 -1.1837 2.6316
2.0050 3.0924 4.5289
3.3151 2.0357 1.0698
-1.2775 2.0156 6.0906
-1.8231 -1.7909 6.0906
3.8607 5.8423 1.0698
0.0326 0.9590 2.6316
1.5503 -0.1124 0.0060
0.4873 4.1637 7.1545



# 2
PBE Li2P2Au, relaxed; calculated density = 5.6 g cm⁻³
1.0
6.3992 0.0000 0.0000
0.0000 6.3992 0.0000
0.0000 0.0000 3.9480
Au Li P
2 4 4
Cartesian
0.0000 0.0000 0.0000
3.1996 3.1996 0.0000
1.1195 4.3191 1.9740
4.3191 5.2797 1.9740
2.0801 1.1195 1.9740
5.2797 2.0801 1.9740
2.4378 5.6374 0.0000
0.7618 2.4378 0.0000
3.9614 0.7618 0.0000
5.6374 3.9614 0.0000



Record order is preserved below.
Energy relative to the elements: -438.1, -445.6 meV per atom
Record order is preserved below.
M_tot: 0.000, 0.000 Bohr magnetons per cell
Record order is preserved below.
DOS(E_F): 1.079, 0.200 states/eV per atom